# 1
DFT (PBE-GGA) results for a relaxed Tm4InAgHg2 crystal. Values from VASP.

```
&SYSTEM
  ibrav = 0, nat = 8, ntyp = 4
/
ATOMIC_SPECIES
Hg 200.59 Hg.upf
Tm 168.93 Tm.upf
Ag 107.87 Ag.upf
In 114.82 In.upf
CELL_PARAMETERS angstrom
-0.7078 -4.4070 -2.6289
2.8354 -0.9809 -4.2228
6.5561 -5.6047 2.5267
ATOMIC_POSITIONS angstrom
Hg 6.5088 -8.2418 -3.2469
Tm 4.3610 -6.8427 -5.0140
Hg 2.1749 -2.7507 -1.0780
Tm 6.4844 -6.8920 -0.3996
Tm 2.1993 -4.1006 -3.9253
Ag 4.3418 -5.4963 -2.1625
In 0.0000 0.0000 0.0000
Tm 4.3226 -4.1498 0.6891
```

Properties
Total DFT energy (no corrections) in eV for the cell shown: -27.47

***

# 2
DFT (PBE-GGA) results for a relaxed Pu2IBr4 crystal. Values from VASP.

```
&SYSTEM
  ibrav = 0, nat = 7, ntyp = 3
/
ATOMIC_SPECIES
Pu 244.00 Pu.upf
Br 79.90 Br.upf
I 126.90 I.upf
CELL_PARAMETERS angstrom
5.0529 0.0000 1.1641
2.3924 4.4507 1.1641
0.1451 0.0868 10.9184
ATOMIC_POSITIONS angstrom
Pu 4.4927 2.6857 3.5958
Pu 3.0977 1.8518 9.6509
Br 0.7609 0.4549 8.2455
Br 5.3311 3.1869 11.5052
I 3.7952 2.2687 6.6233
Br 6.8295 4.0826 5.0012
Br 2.2594 1.3506 1.7415
```

Properties
Total DFT energy (no corrections) in eV for the cell shown: -46.52

***

# 3
DFT (PBE-GGA) results for a relaxed PmGa3CoIr crystal. Values from VASP.

```
&SYSTEM
  ibrav = 0, nat = 12, ntyp = 4
/
ATOMIC_SPECIES
Ir 192.22 Ir.upf
Ga 69.72 Ga.upf
Pm 145.00 Pm.upf
Co 58.93 Co.upf
CELL_PARAMETERS angstrom
5.6184 0.0000 0.0000
0.0000 7.6431 0.0000
0.0000 -3.8216 5.3092
ATOMIC_POSITIONS angstrom
Ir 4.2138 3.8216 0.9522
Ga 1.4046 0.0000 1.9249
Ir 1.4046 0.0000 4.3570
Pm 4.2138 0.0000 3.0239
Ga 0.0000 1.9170 0.0000
Ga 2.8092 1.9170 0.0000
Ga 2.8092 5.7262 0.0000
Co 1.4046 3.8216 4.9584
Pm 1.4046 3.8216 2.2853
Co 4.2138 0.0000 0.3508
Ga 4.2138 3.8216 3.3843
Ga 0.0000 5.7262 0.0000
```

Properties
Total DFT energy (no corrections) in eV for the cell shown: -64.00

***

# 4
DFT (PBE-GGA) results for a relaxed LiLu2Co crystal. Values from VASP.

```
&SYSTEM
  ibrav = 0, nat = 4, ntyp = 3
/
ATOMIC_SPECIES
Li 6.94 Li.upf
Co 58.93 Co.upf
Lu 174.97 Lu.upf
CELL_PARAMETERS angstrom
4.7462 0.0000 0.0000
2.3731 4.1104 0.0000
2.3731 1.3701 3.8753
ATOMIC_POSITIONS angstrom
Li 0.0000 0.0000 0.0000
Co 4.7462 2.7402 1.9376
Lu 7.1194 4.1104 2.9065
Lu 2.3731 1.3701 0.9688
```

Properties
Relative energy among the computed polymorphs in meV per atom: 0

***

# 5
DFT (PBE-GGA) results for a relaxed Be2TlAg crystal. Values from VASP.

```
&SYSTEM
  ibrav = 0, nat = 4, ntyp = 3
/
ATOMIC_SPECIES
Tl 204.38 Tl.upf
Be 9.01 Be.upf
Ag 107.87 Ag.upf
CELL_PARAMETERS angstrom
4.1836 0.0889 0.0319
3.0733 2.8399 0.0319
1.1150 0.4500 5.8144
ATOMIC_POSITIONS angstrom
Tl 4.1774 1.6860 3.1778
Be 1.0915 0.4405 5.4488
Be 6.2462 2.5209 5.0310
Ag 2.1575 0.8707 0.9738
```

Properties
Relative energy among the computed polymorphs in meV per atom: 94

***

# 6
DFT (PBE-GGA) results for a relaxed ScTa2S6 crystal. Values from VASP.

```
&SYSTEM
  ibrav = 0, nat = 9, ntyp = 3
/
ATOMIC_SPECIES
S 32.06 S.upf
Ta 180.95 Ta.upf
Sc 44.96 Sc.upf
CELL_PARAMETERS angstrom
-1.4472 -1.7477 2.6226
2.3136 -5.3836 -4.5723
6.6418 2.7296 5.4550
ATOMIC_POSITIONS angstrom
S 0.7443 -3.0536 0.6853
S 2.0381 -6.0773 -0.6166
S 5.4701 1.6757 4.1216
Ta 5.2894 -0.7129 4.7215
Sc 3.3206 1.3643 2.7281
Ta 2.2191 -3.6886 -1.2167
S 3.3530 -1.1090 3.3896
S 4.1551 -3.2930 0.1159
S 6.7641 -1.3479 2.8197
```

Properties
Relative energy among the computed polymorphs in meV per atom: 0

***

Number 1: Fermi-level density of states 5.53 states/eV/f.u.. Number 2: Fermi-level density of states 22.63 states/eV/f.u.. Number 3: Fermi-level density of states 2.71 states/eV/f.u.. Number 4: Fermi-level density of states 2.87 states/eV/f.u.. Number 5: Fermi-level density of states 1.29 states/eV/f.u.. Number 6: Fermi-level density of states 3.48 states/eV/f.u..